(1)
The following is a DFT calculation (GGA-PBE) of a relaxed structure of Ce5Mg.

The value obtained for the total moment is 0.0 μB/cell. Its calculated formation energy is 0.09 eV/atom. As for the energy relative to the lowest polymorph listed for this composition: 59 meV/atom. For the total energy, the calculation gives -61.45 eV/cell.

It has space group Cmmm (No. 65), with a = 5.571 Å, b = 17.214 Å, c = 3.224 Å, α = 90.00°, β = 90.00° and γ = 90.00°. Symmetry generates all atoms from Ce at (0.000, 0.000, 0.000), Ce at (0.000, 0.151, 0.500), Ce at (0.000, 0.328, 0.000) and Mg at (0.000, 0.500, 0.500).

---

(2)
The following is a DFT calculation (GGA-PBE) of a relaxed structure of Ce5Mg7.

The value obtained for the total moment is 2.2 μB/cell. Its calculated formation energy is 0.03 eV/atom. For the total energy, the calculation gives -40.52 eV/cell.

It has space group Pmm2 (No. 25), with a = 3.182 Å, b = 10.521 Å, c = 8.958 Å, α = 90.00°, β = 90.00° and γ = 90.00°. Symmetry generates all atoms from Ce at (0.000, 0.000, 0.000), Ce at (0.000, 0.335, 0.455), Ce at (0.500, 0.167, 0.248), Mg at (0.000, 0.000, 0.522), Mg at (0.000, 0.333, 0.967), Mg at (0.500, 0.175, 0.734), Mg at (0.500, 0.500, 0.187) and Mg at (0.500, 0.500, 0.734).

---

(3)
The following is a DFT calculation (GGA-PBE) of a relaxed structure of CeMg8.

The value obtained for the total moment is 2.3 μB/cell. Its calculated formation energy is 0.01 eV/atom. For the total energy, the calculation gives -37.13 eV/cell.

It has space group C2/m (No. 12), with a = 4.768 Å, b = 13.556 Å, c = 7.197 Å, α = 90.00°, β = 109.14° and γ = 90.00°. Symmetry generates all atoms from Ce at (0.000, 0.000, 0.000), Mg at (0.000, 0.327, 0.000), Mg at (0.170, 0.170, 0.340) and Mg at (0.173, 0.500, 0.346).

---

(4)
The following is a DFT calculation (GGA-PBE) of a relaxed structure of Ce5Mg.

The value obtained for the total moment is 0.0 μB/cell. Its calculated formation energy is 0.07 eV/atom. As for the energy relative to the lowest polymorph listed for this composition: 43 meV/atom. For the total energy, the calculation gives -61.63 eV/cell.

It has space group Amm2 (No. 38), with a = 5.727 Å, b = 3.227 Å, c = 16.783 Å, α = 90.00°, β = 90.00° and γ = 90.00°. Symmetry generates all atoms from Ce at (0.000, 0.000, 0.000), Ce at (0.000, 0.000, 0.323), Ce at (0.000, 0.000, 0.659), Ce at (0.500, 0.000, 0.522), Ce at (0.500, 0.000, 0.874) and Mg at (0.500, 0.000, 0.202).

---

(5)
The following is a DFT calculation (GGA-PBE) of a relaxed structure of Ce2Mg.

The value obtained for the total moment is 1.0 μB/cell. Its calculated formation energy is 0.04 eV/atom. As for the energy relative to the lowest polymorph listed for this composition: 23 meV/atom. For the total energy, the calculation gives -53.37 eV/cell.

It has space group C2/c (No. 15), with a = 9.546 Å, b = 6.217 Å, c = 6.174 Å, α = 90.00°, β = 120.49° and γ = 90.00°. Symmetry generates all atoms from Ce at (0.149, 0.098, 0.272) and Mg at (0.000, 0.400, 0.750).

---

(6)
The following is a DFT calculation (GGA-PBE) of a relaxed structure of Ce2Mg.

The value obtained for the total moment is 1.0 μB/cell. Its calculated formation energy is 0.05 eV/atom. As for the energy relative to the lowest polymorph listed for this composition: 36 meV/atom. For the total energy, the calculation gives -53.21 eV/cell.

It has space group Amm2 (No. 38), with a = 5.693 Å, b = 3.226 Å, c = 16.757 Å, α = 90.00°, β = 90.00° and γ = 90.00°. Symmetry generates all atoms from Ce at (0.000, 0.000, 0.000), Ce at (0.000, 0.000, 0.323), Ce at (0.000, 0.000, 0.656), Ce at (0.500, 0.000, 0.852), Mg at (0.500, 0.000, 0.183) and Mg at (0.500, 0.000, 0.531).